Entry from Alexandria via LeMat-Bulk: TaMnPtRh after structural relaxation (PBE).

Results
VASP energy (eV/atom): -9.1345
Energy of formation (meV/atom): -531

POSCAR file:
```
TaMnPtRh
1.0
3.858 0.000 0.000
0.000 3.866 0.000
0.000 0.000 3.994
Ta Mn Pt Rh
1 1 1 1
Direct
0.000 0.000 0.000 Ta
0.500 0.000 0.500 Mn
0.000 0.500 0.500 Pt
0.500 0.500 0.000 Rh
```

=====

Entry from Alexandria via LeMat-Bulk: Tl2Sn4Br9 after structural relaxation (PBE).

Results
VASP energy (eV/atom): -3.0788
Formation energy from raw total energies (kJ/mol of formula units): -1002

POSCAR file:
```
Tl2Sn4Br9
1.0
7.532 0.000 0.000
3.641 6.899 0.000
2.683 -0.057 23.367
Tl Sn Br
4 8 18
Direct
0.006 0.019 0.339 Tl
0.058 0.988 0.851 Tl
0.942 0.012 0.149 Tl
0.994 0.981 0.661 Tl
0.314 0.247 0.324 Sn
0.326 0.343 0.503 Sn
0.334 0.327 0.001 Sn
0.390 0.334 0.821 Sn
0.610 0.666 0.179 Sn
0.666 0.673 0.999 Sn
0.674 0.657 0.497 Sn
0.686 0.753 0.676 Sn
0.035 0.344 0.933 Br
0.065 0.591 0.421 Br
0.112 0.647 0.765 Br
0.266 0.682 0.238 Br
0.329 0.648 0.567 Br
0.357 0.984 0.076 Br
0.366 0.057 0.742 Br
0.380 0.008 0.421 Br
0.397 0.594 0.917 Br
0.603 0.406 0.083 Br
0.620 0.992 0.579 Br
0.634 0.943 0.258 Br
0.643 0.016 0.924 Br
0.671 0.352 0.433 Br
0.734 0.318 0.762 Br
0.888 0.353 0.235 Br
0.935 0.409 0.579 Br
0.965 0.656 0.067 Br
```

=====

Entry from Alexandria via LeMat-Bulk: Tb7DyHo3 after structural relaxation (PBE).

Results
VASP energy (eV/atom): -4.4743
Energy of formation (meV/atom): 139

POSCAR file:
```
Tb7DyHo3
1.0
6.951 0.000 0.000
0.000 5.519 0.000
-3.439 0.000 9.240
Tb Dy Ho
7 1 3
Direct
0.000 0.000 0.000 Tb
0.147 0.500 0.291 Tb
0.321 0.500 0.641 Tb
0.417 0.000 0.830 Tb
0.583 0.000 0.170 Tb
0.679 0.500 0.359 Tb
0.853 0.500 0.709 Tb
0.000 0.000 0.500 Dy
0.279 0.500 0.999 Ho
0.500 0.000 0.500 Ho
0.721 0.500 0.001 Ho
```

=====

Entry from Alexandria via LeMat-Bulk: BeSiB2 after structural relaxation (PBE).

Results
VASP energy (eV/atom): -4.5786
Formation energy from raw total energies (kJ/mol of formula units): 404

POSCAR file:
```
BeSiB2
1.0
0.000 2.580 2.580
2.580 0.000 2.580
2.580 2.580 0.000
Be Si B
1 1 2
Direct
0.000 0.000 0.000 Be
0.500 0.500 0.500 Si
0.250 0.250 0.250 B
0.750 0.750 0.750 B
```

=====

Entry from Alexandria via LeMat-Bulk: Na3MgAl after structural relaxation (PBE).

Results
VASP energy (eV/atom): -1.2382
Energy of formation (meV/atom): 621

POSCAR file:
```
Na3MgAl
1.0
5.792 0.000 0.000
0.000 5.792 0.000
0.000 0.000 5.792
Na Mg Al
3 1 1
Direct
0.000 0.000 0.500 Na
0.000 0.500 0.000 Na
0.500 0.000 0.000 Na
0.000 0.000 0.000 Mg
0.500 0.500 0.500 Al
```

=====

Entry from Alexandria via LeMat-Bulk: AlTl2NiAu after structural relaxation (PBE).

Results
VASP energy (eV/atom): -3.3587
Energy of formation (meV/atom): 148

POSCAR file:
```
AlTl2NiAu
1.0
5.063 0.000 0.000
0.000 5.063 0.000
0.000 0.000 4.594
Al Tl Ni Au
1 2 1 1
Direct
0.000 0.000 0.000 Al
0.000 0.500 0.500 Tl
0.500 0.000 0.500 Tl
0.000 0.000 0.500 Ni
0.500 0.500 0.000 Au
```